La3CeNd6 | GGA-PBE | relaxed

DFT total energy	-4.718	eV per atom

Geometry as CIF:
```
data_La3CeNd6
_chemical_formula_sum 'La9 Ce3 Nd18'
_space_group_name_H-M_alt 'R 3'
_space_group_IT_number 146
_space_group_name_Hall 'R 3'
_cell_length_a 10.0687
_cell_length_b 10.0687
_cell_length_c 11.8899
_cell_angle_alpha 90.00
_cell_angle_beta 90.00
_cell_angle_gamma 120.00
loop_
_atom_site_label
_atom_site_type_symbol
_atom_site_fract_x
_atom_site_fract_y
_atom_site_fract_z
_atom_site_occupancy
La1 La 0.0000 0.0000 0.0000 1
La2 La 0.0000 0.0000 0.2465 1
La3 La 0.0000 0.0000 0.5350 1
Ce1 Ce 0.0000 0.0000 0.7648 1
Nd1 Nd 0.0007 0.6545 0.6422 1
Nd2 Nd 0.0217 0.3402 0.4588 1
```

LaCe2Nd | GGA-PBE | relaxed

DFT total energy	-5.277	eV per atom
offset from the most stable computed form	1	meV/atom

Geometry as CIF:
```
data_LaCe2Nd
_chemical_formula_sum 'La1 Ce2 Nd1'
_space_group_name_H-M_alt 'P 4/m m m'
_space_group_IT_number 123
_space_group_name_Hall '-P 4 2'
_cell_length_a 3.5061
_cell_length_b 3.5061
_cell_length_c 10.2409
_cell_angle_alpha 90.00
_cell_angle_beta 90.00
_cell_angle_gamma 90.00
loop_
_atom_site_label
_atom_site_type_symbol
_atom_site_fract_x
_atom_site_fract_y
_atom_site_fract_z
_atom_site_occupancy
La1 La 0.0000 0.0000 0.0000 1
Ce1 Ce 0.5000 0.5000 0.2467 1
Nd1 Nd 0.0000 0.0000 0.5000 1
```

La4CeNd3 | GGA-PBE | relaxed

DFT total energy	-4.788	eV per atom

Geometry as CIF:
```
data_La4CeNd3
_chemical_formula_sum 'La8 Ce2 Nd6'
_space_group_name_H-M_alt 'C 1 2/m 1'
_space_group_IT_number 12
_cell_length_a 25.9443
_cell_length_b 3.4990
_cell_length_c 6.2417
_cell_angle_alpha 90.00
_cell_angle_beta 96.47
_cell_angle_gamma 90.00
loop_
_space_group_symop_operation_xyz
'x,y,z'
'-x,-y,-z'
'-x,y,-z'
'x,-y,z'
'x+1/2,y+1/2,z'
'-x+1/2,-y+1/2,-z'
'-x+1/2,y+1/2,-z'
'x+1/2,-y+1/2,z'
loop_
_atom_site_label
_atom_site_type_symbol
_atom_site_fract_x
_atom_site_fract_y
_atom_site_fract_z
_atom_site_occupancy
La1 La 0.1009 0.0000 0.2050 1
La2 La 0.2199 0.5000 0.2355 1
Ce1 Ce 0.0000 0.5000 0.0000 1
Nd1 Nd 0.0000 0.0000 0.5000 1
Nd2 Nd 0.1436 0.0000 0.7237 1
```

LaCe2Nd8 | GGA-PBE | relaxed

DFT total energy	-4.843	eV per atom

Geometry as CIF:
```
data_LaCe2Nd8
_chemical_formula_sum 'La2 Ce4 Nd16'
_space_group_name_H-M_alt 'I m m m'
_space_group_IT_number 71
_space_group_name_Hall '-I 2 2'
_cell_length_a 5.6468
_cell_length_b 8.4135
_cell_length_c 16.1837
_cell_angle_alpha 90.00
_cell_angle_beta 90.00
_cell_angle_gamma 90.00
loop_
_atom_site_label
_atom_site_type_symbol
_atom_site_fract_x
_atom_site_fract_y
_atom_site_fract_z
_atom_site_occupancy
La1 La 0.0000 0.0000 0.0000 1
Ce1 Ce 0.0000 0.0000 0.3010 1
Nd1 Nd 0.0000 0.2016 0.5000 1
Nd2 Nd 0.0000 0.2957 0.1415 1
Nd3 Nd 0.0000 0.5000 0.3415 1
```

Computed energy of formation (kJ/mol of formula units) in order:
207; 44; 158; 160